No. 1
## V2ClF (GGA+U)

Data for a relaxed V2ClF crystal.

Unit cell a=6.3603 b=6.3603 c=6.3603 alpha=90.00 beta=90.00 gamma=90.00
With the nearest neighbours (Å) after each atom.
Space group Fm-3m (No. 225)
Asymmetric unit:
1 V 0.2500 0.2500 0.2500 (multiplicity 8)  4 F 2.75, 4 Cl 2.75
2 Cl 0.0000 0.0000 0.0000 (multiplicity 4)  8 V 2.75
3 F 0.0000 0.0000 0.5000 (multiplicity 4)  8 V 2.75

energy above the most stable polymorph in this dataset = 0.427 eV/atom
calculated density = 4.036 g/cm3



No. 2
## BaCr2PtO (GGA+U)

Data for a relaxed BaCr2PtO crystal.

Unit cell a=4.8981 b=4.8981 c=6.3183 alpha=90.00 beta=90.00 gamma=90.00
With the nearest neighbours (Å) after each atom.
Space group P4/mmm (No. 123)
Asymmetric unit:
1 Ba 0.0000 0.0000 0.0000 (multiplicity 1)  2 Pt 3.16, 4 O 3.46
2 Cr 0.0000 0.5000 0.5000 (multiplicity 2)  2 Pt 2.45
3 Pt 0.0000 0.0000 0.5000 (multiplicity 1)  4 Cr 2.45
4 O 0.5000 0.5000 0.0000 (multiplicity 1)  4 Ba 3.46

calculated density = 4.956 g/cm3



| no. | uncorrected energy (eV for the cell shown) |
| --- | --- |
| 1 | -74.50 |
| 2 | -26.50 |